(1)
This record from Alexandria via LeMat-Bulk describes a geometry-optimized Sr2ErTcO6 structure. The functional is GGA-PBE.

Geometry as POSCAR:
```
Sr2ErTcO6
1.0
5.8025 0.0000 -0.0312
0.0000 5.8575 0.0000
0.0050 0.0000 8.2269
O Sr Er Tc
12 4 2 2
direct
0.9290 0.5177 0.2356 O
0.2708 0.7018 0.0367 O
0.8006 0.7719 0.9612 O
0.3006 0.7281 0.4612 O
0.6994 0.2719 0.5388 O
0.4290 0.9823 0.7356 O
0.5710 0.0177 0.2644 O
0.0710 0.4823 0.7644 O
0.7292 0.2982 0.9633 O
0.2292 0.2018 0.4633 O
0.7708 0.7982 0.5367 O
0.1994 0.2281 0.0388 O
0.0074 0.9663 0.2498 Sr
0.5074 0.5337 0.7498 Sr
0.9926 0.0337 0.7502 Sr
0.4926 0.4663 0.2502 Sr
0.0000 0.5000 0.5000 Er
0.5000 0.0000 0.0000 Er
0.0000 0.5000 0.0000 Tc
0.5000 0.0000 0.5000 Tc
```

Results
energy relative to the elements, uncorrected	-2.6135	eV/atom
size of the total moment	2.00	μB per formula unit

***

(2)
This record from Alexandria via LeMat-Bulk describes a geometry-optimized SrErTcO6 structure. The functional is GGA-PBE.

Geometry as POSCAR:
```
SrErTcO6
1.0
5.5200 0.0000 -0.0001
2.7600 4.7804 0.0002
0.0000 -0.0002 5.2610
O Er Tc Sr
6 1 1 1
direct
0.6094 0.0420 0.2933 O
0.0420 0.6095 0.7066 O
0.3485 0.6095 0.2933 O
0.3485 0.0420 0.7066 O
0.6094 0.3485 0.7067 O
0.0420 0.3485 0.2933 O
0.6666 0.6667 0.5000 Er
0.3333 0.3333 0.5000 Tc
0.0000 0.0000 0.0000 Sr
```

Results
energy relative to the elements, uncorrected	-2.3020	eV/atom
size of the total moment	0.00	μB per formula unit

***

(3)
This record from Alexandria via LeMat-Bulk describes a geometry-optimized Sr2ErTc3O12 structure. The functional is GGA-PBE.

Geometry as POSCAR:
```
Sr2ErTc3O12
1.0
-3.0051 3.9774 4.4919
-5.5271 -2.7186 2.6621
0.8462 -2.0494 6.3333
O Tc Er Sr
12 3 1 2
direct
0.8647 0.8647 0.4088 O
0.7211 0.7211 0.1020 O
0.8647 0.4088 0.8647 O
0.5912 0.1353 0.1353 O
0.8980 0.2789 0.2789 O
0.1353 0.5912 0.1353 O
0.7211 0.1020 0.7211 O
0.2789 0.8980 0.2789 O
0.1020 0.7211 0.7211 O
0.4088 0.8647 0.8647 O
0.1353 0.1353 0.5912 O
0.2789 0.2789 0.8980 O
0.5000 0.0000 0.0000 Tc
0.0000 0.5000 0.0000 Tc
0.0000 0.0000 0.5000 Tc
0.0000 0.0000 0.0000 Er
0.6193 0.6193 0.6193 Sr
0.3807 0.3807 0.3807 Sr
```

Results
energy relative to the elements, uncorrected	-1.9348	eV/atom
size of the total moment	0.65	μB per formula unit

***

(4)
This record from Alexandria via LeMat-Bulk describes a geometry-optimized SrErTc2O8 structure. The functional is GGA-PBE.

Geometry as POSCAR:
```
SrErTc2O8
1.0
5.8917 0.0000 0.0000
-2.9459 5.1024 0.0000
0.0000 0.0000 7.1329
O Er Sr Tc
8 1 1 2
direct
0.3248 0.1629 0.2915 O
0.8380 0.6752 0.2915 O
0.1629 0.8380 0.7085 O
0.3333 0.6667 0.0341 O
0.1620 0.3248 0.7085 O
0.8371 0.1620 0.2915 O
0.6752 0.8371 0.7085 O
0.6667 0.3333 0.9659 O
0.0000 0.0000 0.5000 Er
0.0000 0.0000 0.0000 Sr
0.3333 0.6667 0.7863 Tc
0.6667 0.3333 0.2137 Tc
```

Results
energy relative to the elements, uncorrected	-2.0608	eV/atom
size of the total moment	3.00	μB per formula unit

***

(5)
This record from Alexandria via LeMat-Bulk describes a geometry-optimized SrEr2TcO8 structure. The functional is GGA-PBE.

Geometry as POSCAR:
```
SrEr2TcO8
1.0
5.0122 -0.0484 -0.0016
-0.0214 4.7911 0.0085
0.0095 0.0346 7.0954
O Tc Sr Er
8 1 1 2
direct
0.1457 0.7760 0.1928 O
0.8488 0.2198 0.1904 O
0.3106 0.2469 0.0022 O
0.6894 0.7531 0.9978 O
0.1512 0.7802 0.8096 O
0.5521 0.7458 0.4999 O
0.8543 0.2240 0.8072 O
0.4479 0.2542 0.5001 O
0.0000 0.0000 0.0000 Tc
0.0000 0.0000 0.5000 Sr
0.5006 0.5021 0.2364 Er
0.4994 0.4979 0.7636 Er
```

Results
energy relative to the elements, uncorrected	-2.3405	eV/atom
size of the total moment	0.21	μB per formula unit

***

(6)
This record from Alexandria via LeMat-Bulk describes a geometry-optimized SrErTe2O8 structure. The functional is GGA-PBE.

Geometry as POSCAR:
```
SrErTe2O8
1.0
6.0227 0.0000 0.0000
-3.0114 5.2158 0.0000
0.0000 0.0000 7.2404
O Er Sr Te
8 1 1 2
direct
0.1567 0.3141 0.7090 O
0.8433 0.6859 0.2910 O
0.1574 0.8433 0.7090 O
0.6859 0.8426 0.7090 O
0.8426 0.1567 0.2910 O
0.6667 0.3333 0.9695 O
0.3141 0.1574 0.2910 O
0.3333 0.6667 0.0305 O
0.0000 0.0000 0.5000 Er
0.0000 0.0000 0.0000 Sr
0.6667 0.3333 0.2227 Te
0.3333 0.6667 0.7773 Te
```

Results
energy relative to the elements, uncorrected	-1.7462	eV/atom
size of the total moment	0.00	μB per formula unit